No. 1
# KScPbBr6

Crystalline KScPbBr6 at its relaxed geometry (GGA-PBE, Alexandria via LeMat-Bulk).

Values from the calculation:
DOS(E_F) ... 0.0 states/eV/f.u.
ρ ... 3.75 Mg/m³
Formation energy (no corrections) ... -1.470 eV per atom
M_tot ... 0.0 μB per formula unit

Geometry as CIF:
```
data_KScPbBr6
_cell_length_a 7.4869
_cell_length_b 7.4869
_cell_length_c 14.0743
_cell_angle_alpha 90.00
_cell_angle_beta 90.00
_cell_angle_gamma 120.00
_space_group_name_H-M_alt 'P -3 1 c'
_space_group_IT_number 163
_space_group_name_Hall '-P 3 2c'
loop_
_atom_site_label
_atom_site_type_symbol
_atom_site_fract_x
_atom_site_fract_y
_atom_site_fract_z
K1 K 0.0000 0.0000 0.0000
Sc1 Sc 0.3333 0.6667 0.2500
Pb1 Pb 0.3333 0.6667 0.7500
Br1 Br 0.0374 0.3845 0.1381
```

No. 2
# KSnPbBr6

Crystalline KSnPbBr6 at its relaxed geometry (GGA-PBE, Alexandria via LeMat-Bulk).

Values from the calculation:
DOS(E_F) ... 7.1 states/eV/f.u.
ρ ... 3.91 Mg/m³
Formation energy (no corrections) ... -0.969 eV per atom
M_tot ... 0.1 μB per formula unit

Geometry as CIF:
```
data_KSnPbBr6
_cell_length_a 7.6107
_cell_length_b 7.6107
_cell_length_c 14.2968
_cell_angle_alpha 90.00
_cell_angle_beta 90.00
_cell_angle_gamma 120.00
_space_group_name_H-M_alt 'P -3 1 c'
_space_group_IT_number 163
_space_group_name_Hall '-P 3 2c'
loop_
_atom_site_label
_atom_site_type_symbol
_atom_site_fract_x
_atom_site_fract_y
_atom_site_fract_z
K1 K 0.0000 0.0000 0.0000
Sn1 Sn 0.3333 0.6667 0.2500
Pb1 Pb 0.3333 0.6667 0.7500
Br1 Br 0.0239 0.3778 0.1334
```

No. 3
# KSnPbBr5

Crystalline KSnPbBr5 at its relaxed geometry (GGA-PBE, Alexandria via LeMat-Bulk).

Values from the calculation:
DOS(E_F) ... 0.0 states/eV/f.u.
ρ ... 3.95 Mg/m³
Formation energy (no corrections) ... -1.049 eV per atom
M_tot ... 0.0 μB per formula unit

Geometry as CIF:
```
data_KSnPbBr5
_cell_length_a 10.832
_cell_length_b 11.880
_cell_length_c 10.867
_cell_angle_alpha 90.00
_cell_angle_beta 113.28
_cell_angle_gamma 90.00
_space_group_name_H-M_alt 'C 1 2/c 1'
_space_group_IT_number 15
_space_group_name_Hall '-C 2yc'
loop_
_atom_site_label
_atom_site_type_symbol
_atom_site_fract_x
_atom_site_fract_y
_atom_site_fract_z
K1 K 0.000 0.079 0.250
Sn1 Sn 0.000 0.497 0.250
Pb1 Pb 0.250 0.250 0.000
Br1 Br 0.000 0.205 0.750
Br2 Br 0.022 0.330 0.082
Br3 Br 0.206 0.014 0.085
```

No. 4
# K2SnPbBr6

Crystalline K2SnPbBr6 at its relaxed geometry (GGA-PBE, Alexandria via LeMat-Bulk).

Values from the calculation:
DOS(E_F) ... 0.0 states/eV/f.u.
ρ ... 3.79 Mg/m³
Formation energy (no corrections) ... -1.215 eV per atom
M_tot ... 0.0 μB per formula unit

Geometry as CIF:
```
data_K2SnPbBr6
_cell_length_a 8.0599
_cell_length_b 8.0599
_cell_length_c 20.6531
_cell_angle_alpha 90.00
_cell_angle_beta 90.00
_cell_angle_gamma 120.00
_space_group_name_H-M_alt 'R 3'
_space_group_IT_number 146
_space_group_name_Hall 'R 3'
loop_
_atom_site_label
_atom_site_type_symbol
_atom_site_fract_x
_atom_site_fract_y
_atom_site_fract_z
K1 K 0.0000 0.0000 0.0000
K2 K 0.0000 0.0000 0.4992
Sn1 Sn 0.0000 0.0000 0.7094
Pb1 Pb 0.0000 0.0000 0.2100
Br1 Br 0.0654 0.3454 0.7848
Br2 Br 0.0691 0.7168 0.2863
```

> Among the records above, which one has the highest formation energy (no corrections)?

KSnPbBr6

What did the first record say?
# KScPbBr6

Crystalline KScPbBr6 at its relaxed geometry (GGA-PBE, Alexandria via LeMat-Bulk).

Values from the calculation:
DOS(E_F) ... 0.0 states/eV/f.u.
ρ ... 3.75 Mg/m³
Formation energy (no corrections) ... -1.470 eV per atom
M_tot ... 0.0 μB per formula unit

Geometry as CIF:
```
data_KScPbBr6
_cell_length_a 7.4869
_cell_length_b 7.4869
_cell_length_c 14.0743
_cell_angle_alpha 90.00
_cell_angle_beta 90.00
_cell_angle_gamma 120.00
_space_group_name_H-M_alt 'P -3 1 c'
_space_group_IT_number 163
_space_group_name_Hall '-P 3 2c'
loop_
_atom_site_label
_atom_site_type_symbol
_atom_site_fract_x
_atom_site_fract_y
_atom_site_fract_z
K1 K 0.0000 0.0000 0.0000
Sc1 Sc 0.3333 0.6667 0.2500
Pb1 Pb 0.3333 0.6667 0.7500
Br1 Br 0.0374 0.3845 0.1381
```

> Among the records above, which one has the lowest ρ?

KScPbBr6